A geometry-optimized Zr12In3Ir structure, computed with GGA-PBE.

The value obtained for the total energy is -7.726 eV per atom.

The structure belongs to space group P4/mmm (No. 123); the cell edges are 4.524, 4.524 and 17.102 Å and the angles 90.00°, 90.00° and 90.00°. Symmetry generates all atoms from Zr at (0.000, 0.000, 0.000), Zr at (0.000, 0.000, 0.240), Zr at (0.000, 0.000, 0.500), Zr at (0.000, 0.500, 0.110), Zr at (0.000, 0.500, 0.372), In at (0.500, 0.500, 0.242), In at (0.500, 0.500, 0.500) and Ir at (0.500, 0.500, 0.000).

=====

A geometry-optimized Zr2InIr structure, computed with GGA-PBE.

The value obtained for the total energy is -7.601 eV per atom.

The structure belongs to space group Imm2 (No. 44); the cell edges are 3.399, 4.728 and 10.162 Å and the angles 90.00°, 90.00° and 90.00°. Symmetry generates all atoms from Zr at (0.000, 0.000, 0.000), Zr at (0.000, 0.500, 0.224), In at (0.000, 0.500, 0.783) and Ir at (0.000, 0.000, 0.511).

=====

A geometry-optimized ZrIn2Ir2 structure, computed with GGA-PBE.

The value obtained for the total energy is -6.629 eV per atom.

The structure belongs to space group P4/mbm (No. 127); the cell edges are 6.969, 6.969 and 4.044 Å and the angles 90.00°, 90.00° and 90.00°. Symmetry generates all atoms from Zr at (0.000, 0.000, 0.000), In at (0.167, 0.333, 0.500) and Ir at (0.134, 0.634, 0.000).

=====

A geometry-optimized ZrInIr structure, computed with GGA-PBE.

The value obtained for the total energy is -7.129 eV per atom.

The structure belongs to space group P-6m2 (No. 187); the cell edges are 4.6501, 4.6501 and 3.0526 Å and the angles 90.00°, 90.00° and 120.00°. Symmetry generates all atoms from Zr at (0.0000, 0.0000, 0.0000), In at (0.6667, 0.3333, 0.5000) and Ir at (0.3333, 0.6667, 0.5000).

=====

A geometry-optimized K2In structure, computed with GGA-PBE.

The value obtained for the energy above the most stable polymorph in this dataset is 0.144 eV/atom.

The structure belongs to space group P-3m1 (No. 164); the cell edges are 4.1725, 4.1725 and 9.6987 Å and the angles 90.00°, 90.00° and 120.00°. Symmetry generates all atoms from K at (0.3333, 0.6667, 0.2896) and In at (0.0000, 0.0000, 0.0000).

=====

A geometry-optimized KIn3 structure, computed with GGA-PBE.

The value obtained for the total energy is -2.260 eV per atom.

The structure belongs to space group Pm-3n (No. 223); the cell edges are 6.332, 6.332 and 6.332 Å and the angles 90.00°, 90.00° and 90.00°. Symmetry generates all atoms from K at (0.000, 0.000, 0.000) and In at (0.000, 0.250, 0.500).

=====

A geometry-optimized KIn structure, computed with GGA-PBE.

The value obtained for the total energy is -1.981 eV per atom.

The structure belongs to space group Cm (No. 8); the cell edges are 13.059, 4.512 and 8.438 Å and the angles 90.00°, 110.49° and 90.00°. Symmetry generates all atoms from K at (0.000, 0.000, 0.000), K at (0.029, 0.000, 0.452), K at (0.323, 0.000, 0.624), In at (0.180, 0.500, 0.854), In at (0.217, 0.500, 0.260) and In at (0.302, 0.000, 0.098).

=====

A geometry-optimized K2In structure, computed with GGA-PBE.

The value obtained for the energy above the most stable polymorph in this dataset is 0.174 eV/atom.

The structure belongs to space group Fm-3m (No. 225); the cell edges are 8.663, 8.663 and 8.663 Å and the angles 90.00°, 90.00° and 90.00°. Symmetry generates all atoms from K at (0.250, 0.250, 0.250) and In at (0.000, 0.000, 0.000).

=====

A geometry-optimized KIn4 structure, computed with GGA-PBE.

The value obtained for the energy above the most stable polymorph in this dataset is 0.096 eV/atom.

The structure belongs to space group I4/m (No. 87); the cell edges are 7.508, 7.508 and 5.385 Å and the angles 90.00°, 90.00° and 90.00°. Symmetry generates all atoms from K at (0.000, 0.000, 0.000) and In at (0.013, 0.300, 0.500).

=====

A geometry-optimized KIn structure, computed with GGA-PBE.

The value obtained for the total energy is -1.647 eV per atom.

The structure belongs to space group Fm-3m (No. 225); the cell edges are 7.167, 7.167 and 7.167 Å and the angles 90.00°, 90.00° and 90.00°. Symmetry generates all atoms from K at (0.000, 0.000, 0.000) and In at (0.000, 0.000, 0.500).

=====

A geometry-optimized KIn2 structure, computed with GGA-PBE.

The value obtained for the total energy is -2.314 eV per atom.

The structure belongs to space group Fd-3m (No. 227, origin choice 2); the cell edges are 9.111, 9.111 and 9.111 Å and the angles 90.00°, 90.00° and 90.00°. Symmetry generates all atoms from K at (0.125, 0.125, 0.125) and In at (0.000, 0.000, 0.500).

=====

A geometry-optimized K8In11 structure, computed with GGA-PBE.

The value obtained for the total energy is -2.207 eV per atom.

The structure belongs to space group R-3c (No. 167, hexagonal axes); the cell edges are 10.0504, 10.0504 and 51.0844 Å and the angles 90.00°, 90.00° and 120.00°. Symmetry generates all atoms from K at (0.0000, 0.0000, 0.0793), K at (0.0317, 0.2965, 0.1452), In at (0.0000, 0.0000, 0.1997), In at (0.0000, 0.2113, 0.7500) and In at (0.0089, 0.2966, 0.2194).

=====

A geometry-optimized KIn6 structure, computed with GGA-PBE.

The value obtained for the energy above the most stable polymorph in this dataset is 0.000 eV/atom.

The structure belongs to space group P4/nbm (No. 125, origin choice 2); the cell edges are 6.792, 6.792 and 9.144 Å and the angles 90.00°, 90.00° and 90.00°. Symmetry generates all atoms from K at (0.250, 0.750, 0.000), In at (0.064, 0.564, 0.355) and In at (0.250, 0.250, 0.163).

=====

A geometry-optimized KIn structure, computed with GGA-PBE.

The value obtained for the total energy is -1.966 eV per atom.

The structure belongs to space group P2_1/m (No. 11); the cell edges are 3.975, 3.976 and 10.399 Å and the angles 90.00°, 90.14° and 90.00°. Symmetry generates all atoms from K at (0.248, 0.250, 0.192) and In at (0.251, 0.250, 0.577).

=====

A geometry-optimized KIn structure, computed with GGA-PBE.

The value obtained for the total energy is -1.993 eV per atom.

The structure belongs to space group Imma (No. 74); the cell edges are 5.037, 6.266 and 10.030 Å and the angles 90.00°, 90.00° and 90.00°. Symmetry generates all atoms from K at (0.000, 0.250, 0.098) and In at (0.000, 0.250, 0.682).

=====

A geometry-optimized KIn2 structure, computed with GGA-PBE.

The value obtained for the total energy is -2.256 eV per atom.

The structure belongs to space group Immm (No. 71); the cell edges are 3.389, 4.624 and 12.659 Å and the angles 90.00°, 90.00° and 90.00°. Symmetry generates all atoms from K at (0.000, 0.000, 0.000) and In at (0.000, 0.000, 0.306).

=====

A geometry-optimized KIn2 structure, computed with GGA-PBE.

The value obtained for the total energy is -2.155 eV per atom.

The structure belongs to space group P-3m1 (No. 164); the cell edges are 3.5955, 3.5955 and 8.5569 Å and the angles 90.00°, 90.00° and 120.00°. Symmetry generates all atoms from K at (0.0000, 0.0000, 0.0000) and In at (0.3333, 0.6667, 0.6488).

=====

A geometry-optimized K5In structure, computed with GGA-PBE.

The value obtained for the energy above the most stable polymorph in this dataset is 0.000 eV/atom.

The structure belongs to space group Cm (No. 8); the cell edges are 15.163, 4.711 and 10.616 Å and the angles 90.00°, 112.07° and 90.00°. Symmetry generates all atoms from K at (0.000, 0.000, 0.000), K at (0.021, 0.000, 0.410), K at (0.160, 0.500, 0.779), K at (0.295, 0.000, 0.150), K at (0.319, 0.000, 0.563) and In at (0.159, 0.500, 0.282).

=====

A geometry-optimized KIn structure, computed with GGA-PBE.

The value obtained for the total energy is -1.811 eV per atom.

The structure belongs to space group P6_3/mmc (No. 194); the cell edges are 3.7314, 3.7314 and 12.2621 Å and the angles 90.00°, 90.00° and 120.00°. Symmetry generates all atoms from K at (0.0000, 0.0000, 0.0000) and In at (0.3333, 0.6667, 0.2500).

=====

A geometry-optimized K2In structure, computed with GGA-PBE.

The value obtained for the energy above the most stable polymorph in this dataset is 0.000 eV/atom.

The structure belongs to space group Cm (No. 8); the cell edges are 13.169, 5.111 and 9.418 Å and the angles 90.00°, 104.00° and 90.00°. Symmetry generates all atoms from K at (0.000, 0.000, 0.000), K at (0.086, 0.500, 0.348), K at (0.197, 0.500, 0.851), K at (0.354, 0.000, 0.563), In at (0.302, 0.000, 0.131) and In at (0.352, 0.500, 0.279).

=====

A geometry-optimized KIn4 structure, computed with GGA-PBE.

The value obtained for the energy above the most stable polymorph in this dataset is 0.934 eV/atom.

The structure belongs to space group Pm-3m (No. 221); the cell edges are 6.056, 6.056 and 6.056 Å and the angles 90.00°, 90.00° and 90.00°. Symmetry generates all atoms from K at (0.000, 0.000, 0.000), In at (0.000, 0.000, 0.500) and In at (0.500, 0.500, 0.500).

=====

A geometry-optimized KIn2 structure, computed with GGA-PBE.

The value obtained for the total energy is -2.290 eV per atom.

The structure belongs to space group P6/mmm (No. 191); the cell edges are 5.2637, 5.2637 and 4.0559 Å and the angles 90.00°, 90.00° and 120.00°. Symmetry generates all atoms from K at (0.0000, 0.0000, 0.0000) and In at (0.3333, 0.6667, 0.5000).

=====

A geometry-optimized KIn structure, computed with GGA-PBE.

The value obtained for the total energy is -1.945 eV per atom.

The structure belongs to space group Pmma (No. 51); the cell edges are 5.371, 3.810 and 7.329 Å and the angles 90.00°, 90.00° and 90.00°. Symmetry generates all atoms from K at (0.250, 0.000, 0.174) and In at (0.250, 0.500, 0.603).

=====

A geometry-optimized KIn3 structure, computed with GGA-PBE.

The value obtained for the total energy is -2.395 eV per atom.

The structure belongs to space group Cmmm (No. 65); the cell edges are 5.407, 5.581 and 8.439 Å and the angles 90.00°, 90.00° and 90.00°. Symmetry generates all atoms from K at (0.000, 0.000, 0.000), In at (0.000, 0.000, 0.500) and In at (0.000, 0.500, 0.302).

=====

A geometry-optimized KIn structure, computed with GGA-PBE.

The value obtained for the total energy is -1.867 eV per atom.

The structure belongs to space group Amm2 (No. 38); the cell edges are 3.827, 11.436 and 11.354 Å and the angles 90.00°, 90.00° and 90.00°. Symmetry generates all atoms from K at (0.000, 0.000, 0.000), K at (0.000, 0.162, 0.592), In at (0.500, 0.000, 0.316) and In at (0.500, 0.249, 0.340).